# K4CaTl, relaxed, DFT GGA-PBE
# * VASP energy: -1.222 eV/atom
# * calculated volume: 1281.24 Å³ per cell
data_K4CaTl
_symmetry_space_group_name_H-M 'F -4 3 m'
_symmetry_Int_Tables_number 216
_symmetry_space_group_name_Hall 'F -4 2 3'
_cell_length_a 10.861
_cell_length_b 10.861
_cell_length_c 10.861
_cell_angle_alpha 90.00
_cell_angle_beta 90.00
_cell_angle_gamma 90.00
loop_
_atom_site_label
_atom_site_type_symbol
_atom_site_fract_x
_atom_site_fract_y
_atom_site_fract_z
K1 K 0.124 0.124 0.124
Ca1 Ca 0.000 0.000 0.500
Tl1 Tl 0.250 0.250 0.750

=====

# K2CaTl, relaxed, DFT GGA-PBE
# * VASP energy: -1.548 eV/atom
# * energy above the lowest structure with this stoichiometry: 181 meV per atom
# * calculated volume: 178.92 Å³ per cell
data_K2CaTl
_symmetry_space_group_name_H-M 'P m m m'
_symmetry_Int_Tables_number 47
_cell_length_a 4.167
_cell_length_b 5.907
_cell_length_c 7.269
_cell_angle_alpha 90.00
_cell_angle_beta 90.00
_cell_angle_gamma 90.00
loop_
_symmetry_equiv_pos_as_xyz
'x,y,z'
'-x,-y,-z'
'-x,-y,z'
'x,y,-z'
'x,-y,-z'
'-x,y,z'
'-x,y,-z'
'x,-y,z'
loop_
_atom_site_label
_atom_site_type_symbol
_atom_site_fract_x
_atom_site_fract_y
_atom_site_fract_z
K1 K 0.000 0.000 0.231
Ca1 Ca 0.500 0.500 0.500
Tl1 Tl 0.500 0.500 0.000

=====

# KCa2Tl, relaxed, DFT GGA-PBE
# * VASP energy: -1.942 eV/atom
# * calculated volume: 516.24 Å³ per cell
data_KCa2Tl
_symmetry_space_group_name_H-M 'R 3 m'
_symmetry_Int_Tables_number 160
_symmetry_space_group_name_Hall 'R 3 -2"'
_cell_length_a 4.0859
_cell_length_b 4.0859
_cell_length_c 35.7063
_cell_angle_alpha 90.00
_cell_angle_beta 90.00
_cell_angle_gamma 120.00
loop_
_atom_site_label
_atom_site_type_symbol
_atom_site_fract_x
_atom_site_fract_y
_atom_site_fract_z
K1 K 0.0000 0.0000 0.0000
Ca1 Ca 0.0000 0.0000 0.2292
Ca2 Ca 0.0000 0.0000 0.4378
Tl1 Tl 0.0000 0.0000 0.8335

=====

# KCaTl, relaxed, DFT GGA-PBE
# * VASP energy: -1.744 eV/atom
# * energy above the lowest structure with this stoichiometry: 212 meV per atom
# * calculated volume: 530.84 Å³ per cell
data_KCaTl
_symmetry_space_group_name_H-M 'F -4 3 m'
_symmetry_Int_Tables_number 216
_symmetry_space_group_name_Hall 'F -4 2 3'
_cell_length_a 8.097
_cell_length_b 8.097
_cell_length_c 8.097
_cell_angle_alpha 90.00
_cell_angle_beta 90.00
_cell_angle_gamma 90.00
loop_
_atom_site_label
_atom_site_type_symbol
_atom_site_fract_x
_atom_site_fract_y
_atom_site_fract_z
K1 K 0.000 0.000 0.000
Ca1 Ca 0.000 0.000 0.500
Tl1 Tl 0.250 0.250 0.750

=====

| no. | calculated formation energy (meV per atom) | DOS at the Fermi energy (states/eV/f.u.) |
| --- | --- | --- |
| 1 | 238 | 6.389 |
| 2 | 92 | 3.574 |
| 3 | -75 | 3.251 |
| 4 | 77 | 4.728 |